The following is a GGA-PBEsol calculation of a geometry-optimized MnSbW3 structure, from the Alexandria database.

Geometry as CIF:
```
data_MnSbW3
_cell_length_a 4.4766
_cell_length_b 4.4766
_cell_length_c 4.4766
_cell_angle_alpha 90.00
_cell_angle_beta 90.00
_cell_angle_gamma 90.00
_space_group_name_H-M_alt 'P m -3 m'
_space_group_IT_number 221
_space_group_name_Hall '-P 4 2 3'
loop_
_atom_site_label
_atom_site_type_symbol
_atom_site_fract_x
_atom_site_fract_y
_atom_site_fract_z
Mn1 Mn 0.0000 0.0000 0.0000
Sb1 Sb 0.5000 0.5000 0.5000
W1 W 0.0000 0.0000 0.5000
```

The following is a GGA-PBEsol calculation of a geometry-optimized BeFeSb2I structure, from the Alexandria database.

Geometry as CIF:
```
data_BeFeSb2I
_cell_length_a 4.7931
_cell_length_b 4.7931
_cell_length_c 5.1447
_cell_angle_alpha 90.00
_cell_angle_beta 90.00
_cell_angle_gamma 90.00
_space_group_name_H-M_alt 'P 4/m m m'
_space_group_IT_number 123
_space_group_name_Hall '-P 4 2'
loop_
_atom_site_label
_atom_site_type_symbol
_atom_site_fract_x
_atom_site_fract_y
_atom_site_fract_z
Be1 Be 0.0000 0.0000 0.0000
Fe1 Fe 0.5000 0.5000 0.5000
Sb1 Sb 0.0000 0.5000 0.0000
I1 I 0.0000 0.0000 0.5000
```

Values for ΔE_f (raw), eV/atom, ordered as above
1.3684 0.9842
Values for ρ, g cm⁻³, ordered as above
13.48 6.12